DFT (GGA+U) results for Li3Mn2F9 after structural relaxation.

a = 5.388 Å, b = 9.247 Å, c = 15.603 Å
α = 90.00°, β = 91.99°, γ = 90.00°
Space group Cc (No. 9)
One atom of each set of equivalent atoms:
1 Li 0.000 0.113 0.000 [4 per cell]
2 Li 0.276 0.366 0.108 [4 per cell]
3 Li 0.367 0.346 0.301 [4 per cell]
4 Mn 0.311 0.311 0.707 [4 per cell]
5 Mn 0.461 0.286 0.905 [4 per cell]
6 F 0.110 0.177 0.295 [4 per cell]
7 F 0.131 0.067 0.461 [4 per cell]
8 F 0.207 0.468 0.770 [4 per cell]
9 F 0.228 0.184 0.836 [4 per cell]
10 F 0.242 0.357 0.419 [4 per cell]
11 F 0.260 0.260 0.001 [4 per cell]
12 F 0.374 0.438 0.608 [4 per cell]
13 F 0.451 0.161 0.650 [4 per cell]
14 F 0.480 0.269 0.189 [4 per cell]

Properties
DOS(E_F): 0.00 states/eV per cell
total energy: -5.3148 eV/atom